(1)
A plane-wave DFT calculation with PBE-GGA was carried out for a relaxed structure of Co3OsAu.

Properties
The energy relative to the elements is 709 kJ/mol of formula units. The calculation puts the total magnetization at 1.828 μB per cell. The space group is Pm-3m.

Cell and atoms, written as POSCAR:
```
Co3OsAu
1.0
4.427 0.000 0.000
0.000 4.427 0.000
0.000 0.000 4.427
Co Os Au
3 1 1
Cartesian
0.000 0.000 2.214
0.000 2.214 0.000
2.214 0.000 0.000
0.000 0.000 0.000
2.214 2.214 2.214
```



(2)
A plane-wave DFT calculation with PBE-GGA was carried out for a relaxed structure of PrHo4Tm5.

Properties
The energy relative to the elements is 299 kJ/mol of formula units. The calculation puts the total magnetization at 0.000 μB per cell. The space group is I4.

Cell and atoms, written as POSCAR:
```
PrHo4Tm5
1.0
-5.065 5.065 3.131
5.065 -5.065 3.131
5.065 5.065 -3.131
Pr Ho Tm
1 4 5
Cartesian
0.000 0.000 0.000
6.583 -0.523 1.441
3.548 0.523 1.441
-0.523 3.548 1.441
0.523 6.583 1.441
0.000 0.000 2.864
6.516 2.690 1.410
2.690 3.614 1.410
2.375 1.451 4.541
-1.451 2.375 4.541
```



The DFT total energy results, record by record, are as follows: -5.696 -4.235 eV/atom.
The offset from the most stable computed form results, record by record, are as follows: 0.0000 0.2454 eV per atom.